## NiMo3C (PBE)

Data for an optimized crystal structure of NiMo3C.

Calculated values
Spin magnetization = 0.000 μB per formula unit
Energy = -47.43 eV/f.u.
Symmetry = P-1, No. 2
Excess energy over the best structure of this formula in the dataset = 0 meV/atom

The structure in POSCAR format:
```
NiMo3C
1.0
3.0092 -0.0018 0.0006
1.5015 5.2470 0.0478
0.0021 2.3418 8.2944
Ni Mo C
2 6 2
direct
0.8079 0.9514 0.1475
0.8803 0.8092 0.9116
0.2552 0.0545 0.3699
0.5313 0.5043 0.1274
0.1569 0.2564 0.9317
0.6930 0.1794 0.6431
0.4330 0.7062 0.6891
0.9953 0.5813 0.4160
0.0651 0.4387 0.6768
0.6231 0.3221 0.3823
```